NaGe2SeF | PBE | optimized geometry

Lattice parameters (Å, degrees): 5.2660 5.2660 3.9203 90.00 90.00 90.00
Sites, in units of the cell vectors:
Ge: 0.0000 0.5000 0.0000
F: 0.0000 0.0000 0.5000
Se: 0.5000 0.5000 0.5000
Na: 0.0000 0.0000 0.0000
Ge: 0.5000 0.0000 0.0000

Properties
Spin magnetization = 0.00 μB/atom
Calculated volume = 108.7 Å³ per cell
Formation energy (no corrections) = -0.08 eV/atom
Density of states at the Fermi level = 0.43 states/eV per atom
Space-group type = No. 123


Na2SrGeF8 | PBE | optimized geometry

Lattice parameters (Å, degrees): 4.6711 5.3725 7.1569 90.00 90.00 89.93
Sites, in units of the cell vectors:
F: 0.3912 0.2669 0.5000
F: 0.6088 0.7331 0.5000
F: 0.1677 0.8146 0.8122
F: 0.2907 0.2249 0.0000
Na: 0.5000 0.5000 0.2466
F: 0.7093 0.7751 0.0000
Na: 0.5000 0.5000 0.7534
Sr: 0.0000 0.0000 0.5000
F: 0.8323 0.1854 0.1878
F: 0.8323 0.1854 0.8122
Ge: 0.0000 0.0000 0.0000
F: 0.1677 0.8146 0.1878

Properties
Spin magnetization = 0.00 μB/atom
Calculated volume = 179.6 Å³ per cell
Formation energy (no corrections) = -2.93 eV/atom
Density of states at the Fermi level = 0.00 states/eV per atom
Space-group type = No. 10


Na2SrGeF | PBE | optimized geometry

Lattice parameters (Å, degrees): 4.7393 4.7393 5.1116 90.00 90.00 90.00
Sites, in units of the cell vectors:
Na: 0.5000 0.0000 0.0000
Na: 0.0000 0.5000 0.0000
Sr: 0.0000 0.0000 0.5000
F: 0.0000 0.0000 0.0000
Ge: 0.5000 0.5000 0.5000

Properties
Spin magnetization = 0.00 μB/atom
Calculated volume = 114.8 Å³ per cell
Formation energy (no corrections) = -1.22 eV/atom
Density of states at the Fermi level = 0.64 states/eV per atom
Space-group type = No. 123


NaGeTe2F | PBE | optimized geometry

Lattice parameters (Å, degrees): 5.2780 6.2279 5.2780 90.00 90.00 90.00
Sites, in units of the cell vectors:
Ge: 0.0000 0.0000 0.0000
Na: 0.0000 0.5000 0.0000
Te: 0.5000 0.0000 0.0000
F: 0.5000 0.5000 0.5000
Te: 0.0000 0.0000 0.5000

Properties
Spin magnetization = 0.00 μB/atom
Calculated volume = 173.5 Å³ per cell
Formation energy (no corrections) = -0.15 eV/atom
Density of states at the Fermi level = 0.62 states/eV per atom
Space-group type = No. 123